6
Lattice="-1.326 -2.414 -0.037 1.743 -0.929 -1.920 6.517 -3.699 7.709" Properties=species:S:1:pos:R:3 comment="BeNiPt4 (GGA-PBE, relaxed)" n_ef_per_ev_cell=4.37 e_tot_ev_per_atom=-5.952 magnetic_moment_mub_per_atom=0.216 space_group="No. 123" e_above_lowest_polymorph_mev_per_atom=0 pbc="T T T"
Pt 5.657 -4.763 5.467
Ni 0.000 0.000 0.000
Pt 2.374 -1.348 2.808
Pt 1.277 -2.278 0.286
Pt 4.560 -5.693 2.944
Be 3.467 -3.520 2.876

***

3
Lattice="-2.195 -2.971 0.554 -0.884 -2.229 -2.864 1.433 -3.443 -0.198" Properties=species:S:1:pos:R:3 comment="BeNiPt (GGA-PBE, relaxed)" n_ef_per_ev_cell=1.32 e_tot_ev_per_atom=-5.531 magnetic_moment_mub_per_atom=0.000 space_group="No. 216" e_above_lowest_polymorph_mev_per_atom=128 pbc="T T T"
Ni 0.000 0.000 0.000
Be -1.234 -6.482 -1.881
Pt -0.823 -4.321 -1.254

***

12
Lattice="3.721 0.014 -1.085 -0.963 6.185 -3.222 0.038 -0.328 7.051" Properties=species:S:1:pos:R:3 comment="BeNi5Pt6 (GGA-PBE, relaxed)" n_ef_per_ev_cell=17.76 e_tot_ev_per_atom=-5.922 magnetic_moment_mub_per_atom=0.405 space_group="No. 71" pbc="T T T"
Pt 3.061 0.261 3.578
Be 0.000 0.000 0.000
Ni 0.973 1.902 3.361
Pt 1.644 1.395 -1.266
Ni 1.824 3.969 -0.617
Ni -0.481 3.093 -1.611
Pt 0.235 2.400 0.838
Pt 2.561 3.471 1.906
Ni 2.364 0.991 1.196
Ni 0.433 4.880 1.548
Pt 1.114 4.804 -3.041
Pt -0.264 5.610 -0.835

***

4
Lattice="-1.056 -3.698 2.261 1.637 -3.780 1.713 0.941 0.891 4.488" Properties=species:S:1:pos:R:3 comment="BeNiPt2 (GGA-PBE, relaxed)" n_ef_per_ev_cell=3.69 e_tot_ev_per_atom=-5.671 magnetic_moment_mub_per_atom=0.073 space_group="No. 12" pbc="T T T"
Pt 0.761 -3.125 4.204
Pt 0.941 0.722 4.515
Ni 0.380 -1.647 2.115
Be 1.141 -4.941 6.346

***

4
Lattice="3.254 0.000 0.000 0.000 3.947 0.000 0.000 0.000 3.947" Properties=species:S:1:pos:R:3 comment="BeNiPt2 (GGA-PBE, relaxed)" n_ef_per_ev_cell=3.96 e_tot_ev_per_atom=-5.744 magnetic_moment_mub_per_atom=0.001 space_group="No. 123" pbc="T T T"
Ni 1.627 0.000 1.973
Be 1.627 1.973 0.000
Pt 0.000 0.000 0.000
Pt 0.000 1.973 1.973

***

4
Lattice="-3.273 2.817 0.357 -0.464 0.134 4.306 3.681 0.614 -2.201" Properties=species:S:1:pos:R:3 comment="BeNiPt2 (GGA-PBE, relaxed)" n_ef_per_ev_cell=4.28 e_tot_ev_per_atom=-5.730 magnetic_moment_mub_per_atom=0.264 space_group="No. 139" pbc="T T T"
Be 0.675 1.112 2.218
Pt -1.868 1.475 2.331
Pt 0.000 0.000 0.000
Ni -0.730 2.453 0.244

***

4
Lattice="4.406 -0.005 0.004 3.585 2.561 0.004 1.073 0.343 3.767" Properties=species:S:1:pos:R:3 comment="Be2NiPt (GGA-PBE, relaxed)" n_ef_per_ev_cell=1.46 e_tot_ev_per_atom=-5.306 magnetic_moment_mub_per_atom=0.000 space_group="No. 8" pbc="T T T"
Be 2.332 0.746 1.130
Be 8.991 2.876 3.616
Pt 6.787 2.171 3.048
Ni 4.549 1.455 1.643

***

9
Lattice="4.105 0.000 0.000 2.052 3.527 0.447 0.000 -0.967 7.614" Properties=species:S:1:pos:R:3 comment="Be2Ni3Pt4 (GGA-PBE, relaxed)" n_ef_per_ev_cell=9.42 e_tot_ev_per_atom=-5.737 magnetic_moment_mub_per_atom=0.228 space_group="No. 164" pbc="T T T"
Be 2.052 0.398 6.269
Be 4.105 2.162 1.792
Pt 4.105 1.504 6.967
Pt 2.052 2.874 5.581
Pt 4.105 -0.315 2.481
Ni 2.052 0.692 3.959
Ni 0.000 0.000 0.000
Pt 2.052 1.056 1.095
Ni 4.105 1.868 4.103

***

4
Lattice="2.763 0.000 0.000 0.000 2.763 0.000 0.000 0.000 6.544" Properties=species:S:1:pos:R:3 comment="BeNiPt2 (GGA-PBE, relaxed)" n_ef_per_ev_cell=5.72 e_tot_ev_per_atom=-5.748 magnetic_moment_mub_per_atom=0.133 space_group="No. 99" pbc="T T T"
Ni 1.381 1.381 4.627
Pt 0.000 0.000 6.392
Be 0.000 0.000 3.358
Pt 1.381 1.381 1.982

***

6
Lattice="-1.310 3.915 1.355 -0.899 -3.968 1.525 3.749 0.257 2.879" Properties=species:S:1:pos:R:3 comment="BeNiPt (GGA-PBE, relaxed)" n_ef_per_ev_cell=3.92 e_tot_ev_per_atom=-5.659 magnetic_moment_mub_per_atom=0.000 space_group="No. 63" e_above_lowest_polymorph_mev_per_atom=0 pbc="T T T"
Be 1.097 1.270 4.296
Ni 1.220 2.086 2.117
Be 0.443 -1.066 1.464
Ni -0.655 1.957 0.678
Pt -0.741 0.441 2.871
Pt 2.281 -0.236 2.888

***

4
Lattice="2.787 0.000 0.000 0.000 2.787 0.000 0.000 0.000 5.423" Properties=species:S:1:pos:R:3 comment="Be2NiPt (GGA-PBE, relaxed)" n_ef_per_ev_cell=1.96 e_tot_ev_per_atom=-5.237 magnetic_moment_mub_per_atom=0.000 space_group="No. 99" pbc="T T T"
Be 0.000 0.000 0.135
Be 1.393 1.393 1.338
Ni 0.000 0.000 2.391
Pt 1.393 1.393 4.270

***

4
Lattice="3.656 0.000 0.000 0.000 2.728 0.073 0.000 1.468 4.251" Properties=species:S:1:pos:R:3 comment="Be2NiPt (GGA-PBE, relaxed)" n_ef_per_ev_cell=1.52 e_tot_ev_per_atom=-5.343 magnetic_moment_mub_per_atom=0.000 space_group="No. 6" pbc="T T T"
Be 0.000 2.007 4.156
Be 1.828 0.505 1.225
Pt 1.828 3.395 3.569
Ni 0.000 1.855 1.787